Entry 1:
! SrScAl2 | the Alexandria database | GGA-PBE | relaxed; values from VASP
&SYSTEM
  ibrav = 0, nat = 4, ntyp = 3
/
ATOMIC_SPECIES
Al 26.98 Al.upf
Sc 44.96 Sc.upf
Sr 87.62 Sr.upf
CELL_PARAMETERS angstrom
6.7216 0.4128 -0.3037
3.7000 5.6268 0.3037
-4.8214 -3.6916 2.9272
ATOMIC_POSITIONS angstrom
Al 10.1483 5.8811 0.0000
Al 4.3748 0.3452 1.3117
Sc 4.9865 2.8898 0.0000
Sr 1.7230 2.2910 1.6154
! - N(E_F): 3.64 states/eV/cell
! - ΔE to the lowest computed polymorph: 177 meV per atom
! - Space-group type: Imm2, No. 44
! - Crystal system: orthorhombic
! - Total moment: 0.00 μB per atom

=====

Entry 2:
! SrScAl2 | the Alexandria database | GGA-PBE | relaxed; values from VASP
&SYSTEM
  ibrav = 0, nat = 4, ntyp = 3
/
ATOMIC_SPECIES
Al 26.98 Al.upf
Sr 87.62 Sr.upf
Sc 44.96 Sc.upf
CELL_PARAMETERS angstrom
5.7872 0.0303 0.0000
2.2099 5.3488 0.0000
-3.9986 -2.6895 3.2048
ATOMIC_POSITIONS angstrom
Al 0.0000 0.0000 0.0000
Al 1.1050 2.6744 1.6024
Sr 2.8936 0.0151 1.6024
Sc 3.9986 2.6895 0.0000
! - N(E_F): 4.42 states/eV/cell
! - ΔE to the lowest computed polymorph: 350 meV per atom
! - Space-group type: I-4m2, No. 119
! - Crystal system: tetragonal
! - Total moment: 0.00 μB per atom

=====

Entry 3:
! SrScAl | the Alexandria database | GGA-PBE | relaxed; values from VASP
&SYSTEM
  ibrav = 0, nat = 3, ntyp = 3
/
ATOMIC_SPECIES
Sc 44.96 Sc.upf
Al 26.98 Al.upf
Sr 87.62 Sr.upf
CELL_PARAMETERS angstrom
0.0000 3.6669 3.6669
3.6669 0.0000 3.6669
3.6669 3.6669 0.0000
ATOMIC_POSITIONS angstrom
Sc 1.8335 1.8335 1.8335
Al 0.0000 0.0000 0.0000
Sr 5.5004 5.5004 5.5004
! - N(E_F): 0.92 states/eV/cell
! - ΔE to the lowest computed polymorph: 360 meV per atom
! - Space-group type: F-43m, No. 216
! - Crystal system: cubic
! - Total moment: 0.00 μB per atom

=====

Entry 4:
! SrScAl | the Alexandria database | GGA-PBE | relaxed; values from VASP
&SYSTEM
  ibrav = 0, nat = 6, ntyp = 3
/
ATOMIC_SPECIES
Al 26.98 Al.upf
Sr 87.62 Sr.upf
Sc 44.96 Sc.upf
CELL_PARAMETERS angstrom
-3.6008 3.5148 -0.1801
-0.0356 -2.7613 -3.2258
-3.8903 -8.7117 4.7565
ATOMIC_POSITIONS angstrom
Al -5.4242 -4.5212 1.6597
Al -5.0428 -1.6313 1.9753
Sr -2.5698 -2.5999 -0.0167
Sr -6.5515 -8.2060 2.0391
Sc -3.3986 -6.1479 0.2375
Sc -3.7395 -6.4075 3.2600
! - N(E_F): 5.60 states/eV/cell
! - ΔE to the lowest computed polymorph: 118 meV per atom
! - Space-group type: P1, No. 1
! - Crystal system: triclinic
! - Total moment: 0.00 μB per atom

=====

Entry 5:
! SrScAl | the Alexandria database | GGA-PBE | relaxed; values from VASP
&SYSTEM
  ibrav = 0, nat = 12, ntyp = 3
/
ATOMIC_SPECIES
Sc 44.96 Sc.upf
Al 26.98 Al.upf
Sr 87.62 Sr.upf
CELL_PARAMETERS angstrom
6.4757 0.0000 0.0000
0.0000 4.6205 0.0000
0.0000 0.0000 12.2333
ATOMIC_POSITIONS angstrom
Sc 6.4754 3.4653 9.1749
Sc 3.2382 1.1551 3.0583
Sc 0.0003 1.1551 3.0584
Sc 3.2375 3.4653 9.1750
Al 4.8572 3.4653 3.9108
Al 1.6185 1.1551 8.3225
Al 1.6193 3.4653 2.2058
Al 4.8564 1.1551 10.0275
Sr 4.8567 1.1551 6.5818
Sr 1.6188 1.1551 11.7682
Sr 4.8569 3.4653 0.4651
Sr 1.6190 3.4653 5.6516
! - N(E_F): 16.69 states/eV/cell
! - ΔE to the lowest computed polymorph: 102 meV per atom
! - Space-group type: Cmcm, No. 63
! - Crystal system: orthorhombic
! - Total moment: 0.29 μB per atom

=====

Entry 6:
! SrScAl2 | the Alexandria database | GGA-PBE | relaxed; values from VASP
&SYSTEM
  ibrav = 0, nat = 8, ntyp = 3
/
ATOMIC_SPECIES
Sr 87.62 Sr.upf
Sc 44.96 Sc.upf
Al 26.98 Al.upf
CELL_PARAMETERS angstrom
5.0178 0.0000 0.0000
0.0000 5.0178 0.0000
2.5089 2.5089 9.9588
ATOMIC_POSITIONS angstrom
Sr 5.0178 2.5089 4.9794
Sr 0.0000 0.0000 0.0000
Sc 2.5089 2.5089 0.0000
Sc 2.5089 5.0178 4.9794
Al 3.7633 4.4948 7.4691
Al 1.9859 3.7633 2.4897
Al 3.0318 1.2544 2.4897
Al 6.2722 5.5407 7.4691
! - N(E_F): 8.43 states/eV/cell
! - ΔE to the lowest computed polymorph: 551 meV per atom
! - Space-group type: I-42d, No. 122
! - Crystal system: tetragonal
! - Total moment: 0.00 μB per atom

=====

Entry 7:
! SrScAl | the Alexandria database | GGA-PBE | relaxed; values from VASP
&SYSTEM
  ibrav = 0, nat = 3, ntyp = 3
/
ATOMIC_SPECIES
Sc 44.96 Sc.upf
Al 26.98 Al.upf
Sr 87.62 Sr.upf
CELL_PARAMETERS angstrom
-3.8159 2.7270 -2.1163
-0.9365 -4.6879 1.9033
-0.7987 1.5609 3.4515
ATOMIC_POSITIONS angstrom
Sc -2.9893 0.5158 -0.2005
Al -0.1329 0.2597 0.5743
Sr -2.4289 -1.1755 2.8648
! - N(E_F): 3.34 states/eV/cell
! - ΔE to the lowest computed polymorph: 247 meV per atom
! - Space-group type: P-6m2, No. 187
! - Crystal system: hexagonal
! - Total moment: 0.00 μB per atom

=====

Entry 8:
! SrScAl | the Alexandria database | GGA-PBE | relaxed; values from VASP
&SYSTEM
  ibrav = 0, nat = 12, ntyp = 3
/
ATOMIC_SPECIES
Sc 44.96 Sc.upf
Sr 87.62 Sr.upf
Al 26.98 Al.upf
CELL_PARAMETERS angstrom
-4.1804 -3.8517 12.3346
-1.4063 -3.7363 -4.7520
2.4964 -6.4246 -3.7888
ATOMIC_POSITIONS angstrom
Sc -0.0832 -6.3328 -5.1273
Sc -2.1651 -2.5417 4.6482
Sc -0.9251 -11.4709 -0.8544
Sc -3.0071 -7.6799 8.9211
Sr -2.8281 -8.0421 5.1065
Sr 0.5103 -9.3285 -2.9552
Sr -3.6005 -4.6841 6.7491
Sr -0.2621 -5.9706 -1.3126
Al 0.0000 0.0000 0.0000
Al -0.7031 -1.8682 -2.3760
Al -0.8420 -5.1382 4.2729
Al -1.5451 -7.0063 1.8969
! - N(E_F): 9.59 states/eV/cell
! - ΔE to the lowest computed polymorph: 155 meV per atom
! - Space-group type: P-1, No. 2
! - Crystal system: triclinic
! - Total moment: 0.00 μB per atom

=====

Entry 9:
! SrScAl2 | the Alexandria database | GGA-PBE | relaxed; values from VASP
&SYSTEM
  ibrav = 0, nat = 4, ntyp = 3
/
ATOMIC_SPECIES
Al 26.98 Al.upf
Sc 44.96 Sc.upf
Sr 87.62 Sr.upf
CELL_PARAMETERS angstrom
5.2347 0.0000 0.0000
0.0000 5.2347 0.0000
0.0000 0.0000 3.5383
ATOMIC_POSITIONS angstrom
Al 2.6174 2.6174 0.0000
Al 0.0000 0.0000 0.0000
Sc 2.6174 0.0000 1.7692
Sr 0.0000 2.6174 1.7692
! - N(E_F): 2.67 states/eV/cell
! - ΔE to the lowest computed polymorph: 172 meV per atom
! - Space-group type: P4/mmm, No. 123
! - Crystal system: tetragonal
! - Total moment: 0.00 μB per atom

=====

Entry 10:
! SrScAl3 | the Alexandria database | GGA-PBE | relaxed; values from VASP
&SYSTEM
  ibrav = 0, nat = 5, ntyp = 3
/
ATOMIC_SPECIES
Al 26.98 Al.upf
Sc 44.96 Sc.upf
Sr 87.62 Sr.upf
CELL_PARAMETERS angstrom
-4.5528 0.1461 2.6440
-2.1661 -3.2304 -3.5514
1.5232 -4.1573 2.8525
ATOMIC_POSITIONS angstrom
Al -1.0831 -1.6152 -1.7757
Al -2.2764 0.0730 1.3220
Al 0.7616 -2.0786 1.4263
Sc 0.0000 0.0000 0.0000
Sr -2.5978 -3.6208 0.9726
! - N(E_F): 5.48 states/eV/cell
! - ΔE to the lowest computed polymorph: 0 meV per atom
! - Space-group type: Pm-3m, No. 221
! - Crystal system: cubic
! - Total moment: 0.00 μB per atom

=====

Entry 11:
! SrScAl | the Alexandria database | GGA-PBE | relaxed; values from VASP
&SYSTEM
  ibrav = 0, nat = 6, ntyp = 3
/
ATOMIC_SPECIES
Al 26.98 Al.upf
Sc 44.96 Sc.upf
Sr 87.62 Sr.upf
CELL_PARAMETERS angstrom
-6.3236 -3.2066 0.9334
1.8390 -2.2943 -1.8176
3.8387 -1.6717 5.9950
ATOMIC_POSITIONS angstrom
Al 3.0929 -2.1903 4.1480
Al 1.7722 -1.4800 1.9147
Sc 1.9561 -4.3902 2.4882
Sc -1.5757 -4.7809 2.6904
Sr -3.7105 -4.0547 -0.3870
Sr 0.2523 -3.4449 -0.4295
! - N(E_F): 4.85 states/eV/cell
! - ΔE to the lowest computed polymorph: 85 meV per atom
! - Space-group type: C2/m, No. 12
! - Crystal system: monoclinic
! - Total moment: 0.00 μB per atom

=====

Entry 12:
! SrScAl2 | the Alexandria database | GGA-PBE | relaxed; values from VASP
&SYSTEM
  ibrav = 0, nat = 4, ntyp = 3
/
ATOMIC_SPECIES
Al 26.98 Al.upf
Sr 87.62 Sr.upf
Sc 44.96 Sc.upf
CELL_PARAMETERS angstrom
0.0000 3.6442 3.6442
3.6442 0.0000 3.6442
3.6442 3.6442 0.0000
ATOMIC_POSITIONS angstrom
Al 5.4663 5.4663 5.4663
Al 1.8221 1.8221 1.8221
Sr 3.6442 3.6442 3.6442
Sc 0.0000 0.0000 0.0000
! - N(E_F): 3.03 states/eV/cell
! - ΔE to the lowest computed polymorph: 136 meV per atom
! - Space-group type: Fm-3m, No. 225
! - Crystal system: cubic
! - Total moment: 0.00 μB per atom

=====

Entry 13:
! SrScAl | the Alexandria database | GGA-PBE | relaxed; values from VASP
&SYSTEM
  ibrav = 0, nat = 6, ntyp = 3
/
ATOMIC_SPECIES
Sr 87.62 Sr.upf
Al 26.98 Al.upf
Sc 44.96 Sc.upf
CELL_PARAMETERS angstrom
5.0536 -0.0634 -0.0191
1.8724 3.8660 -0.0053
-3.0020 -0.9150 9.8920
ATOMIC_POSITIONS angstrom
Sr 3.0881 2.1661 2.8562
Sr 2.4713 0.0843 9.6208
Al -0.1860 1.3695 7.7279
Al 3.0793 -0.2157 5.9098
Sc 0.5044 1.0320 5.0010
Sc 2.3949 2.5044 6.8924
! - N(E_F): 4.97 states/eV/cell
! - ΔE to the lowest computed polymorph: 112 meV per atom
! - Space-group type: Cm, No. 8
! - Crystal system: monoclinic
! - Total moment: 0.00 μB per atom

=====

Entry 14:
! SrScAl2 | the Alexandria database | GGA-PBE | relaxed; values from VASP
&SYSTEM
  ibrav = 0, nat = 4, ntyp = 3
/
ATOMIC_SPECIES
Sr 87.62 Sr.upf
Al 26.98 Al.upf
Sc 44.96 Sc.upf
CELL_PARAMETERS angstrom
3.3720 0.0000 0.0000
0.0000 4.0618 0.0000
0.0000 0.0000 7.1500
ATOMIC_POSITIONS angstrom
Sr 1.6860 2.0309 5.3625
Al 0.0000 0.0000 0.4160
Al 0.0000 0.0000 3.1590
Sc 1.6860 2.0309 1.7875
! - N(E_F): 2.53 states/eV/cell
! - ΔE to the lowest computed polymorph: 0 meV per atom
! - Space-group type: Pmmm, No. 47
! - Crystal system: orthorhombic
! - Total moment: 0.00 μB per atom

=====

| no. | formation energy (kJ/mol of formula units) |
| --- | --- |
| 1 | -30 |
| 2 | 37 |
| 3 | 54 |
| 4 | -16 |
| 5 | -20 |
| 6 | 114 |
| 7 | 22 |
| 8 | -5 |
| 9 | -32 |
| 10 | 156 |
| 11 | -25 |
| 12 | -46 |
| 13 | -17 |
| 14 | -98 |